# NaLaSc3 (PBE, optimized geometry)
data_NaLaSc3
_chemical_formula_sum 'Na1 La1 Sc3'
_cell_length_a 5.2969
_cell_length_b 5.2969
_cell_length_c 5.2969
_cell_angle_alpha 90.00
_cell_angle_beta 90.00
_cell_angle_gamma 90.00
_symmetry_space_group_name_H-M 'P m -3 m'
_symmetry_Int_Tables_number 221
_symmetry_space_group_name_Hall '-P 4 2 3'
loop_
_atom_site_label
_atom_site_type_symbol
_atom_site_fract_x
_atom_site_fract_y
_atom_site_fract_z
_atom_site_occupancy
Na1 Na 0.0000 0.0000 0.0000 1
La1 La 0.5000 0.5000 0.5000 1
Sc1 Sc 0.0000 0.0000 0.5000 1
# E: -4.313 eV/atom
# Energy above the most stable polymorph in this dataset: 0 meV per atom